(1)
# IrWSe2

An optimized crystal structure of IrWSe2 (PBE, Alexandria).

Computed properties:
DFT total energy = -6.757 eV/atom
Fermi-level density of states = 3.89 states/eV/cell
space-group type = P4/mmm, No. 123

Lattice parameters (Å, degrees): 3.1799 3.1799 6.3222 90.00 90.00 90.00
Fractional coordinates of all 4 atoms:
Ir (0.0000, 0.0000, 0.0000)
W (0.0000, 0.0000, 0.5000)
Se (0.5000, 0.5000, 0.2609)
Se (0.5000, 0.5000, 0.7391)

---

(2)
# IrWSe

An optimized crystal structure of IrWSe (PBE, Alexandria).

Computed properties:
DFT total energy = -8.070 eV/atom
Fermi-level density of states = 1.49 states/eV/cell
space-group type = F-43m, No. 216

Lattice parameters (Å, degrees): 4.2864 4.2864 4.2864 60.00 60.00 60.00
Fractional coordinates of all 3 atoms:
Ir (0.0000, 0.0000, 0.0000)
W (0.7500, 0.7500, 0.7500)
Se (0.5000, 0.5000, 0.5000)

---

(3)
# IrW3Se

An optimized crystal structure of IrW3Se (PBE, Alexandria).

Computed properties:
DFT total energy = -8.494 eV/atom
Fermi-level density of states = 6.50 states/eV/cell
space-group type = Pm-3m, No. 221

Lattice parameters (Å, degrees): 4.5284 4.5284 4.5284 90.00 90.00 90.00
Fractional coordinates of all 5 atoms:
Ir (0.0000, 0.0000, 0.0000)
W (0.0000, 0.5000, 0.5000)
W (0.5000, 0.0000, 0.5000)
W (0.5000, 0.5000, 0.0000)
Se (0.5000, 0.5000, 0.5000)

---

(4)
# Ir2W2Se

An optimized crystal structure of Ir2W2Se (PBE, Alexandria).

Computed properties:
DFT total energy = -9.001 eV/atom
Fermi-level density of states = 3.69 states/eV/cell
space-group type = I4/mmm, No. 139

Lattice parameters (Å, degrees): 7.0678 7.0678 7.0678 149.91 149.91 43.07
Fractional coordinates of all 5 atoms:
Ir (0.2500, 0.7500, 0.5000)
Ir (0.7500, 0.2500, 0.5000)
W (0.1096, 0.1096, 0.0000)
W (0.8904, 0.8904, 0.0000)
Se (0.5000, 0.5000, 0.0000)